Density functional theory data (PBE) for a relaxed KAgPd3 crystal.

```
KAgPd3
1.0
-2.7193 -3.8044 1.9738
3.0789 -3.3601 -2.2347
2.9815 0.0001 4.1079
Pd K Ag
3 1 1
direct
0.5000 0.0000 0.0000 Pd
0.0000 0.0000 0.5000 Pd
0.0000 0.5000 0.0000 Pd
0.5000 0.5000 0.5000 K
0.0000 0.0000 0.0000 Ag
```

Results
- Space group: Pm-3m, No. 221
- D(E_F): 3.0 states/eV per cell
- Formation energy from the elements: 0.62 eV/atom
- Calculated density: 5.92 g cm⁻³
- Offset from the most stable computed form: 0.0 kJ/mol of atoms